1
Lattice="2.9701 0.3135 0.2886 0.5793 2.9298 0.2886 0.5793 0.5293 2.8960" Properties=species:S:1:pos:R:3 comment="Hg | Alexandria via LeMat-Bulk | PBEsol | relaxed" energy_ry_per_atom=-0.041 formation_enthalpy_0k_mev_per_atom=6 pbc="T T T"
Hg 2.0643 1.8863 1.7366



3
Lattice="3.0380 0.0000 0.0000 0.0000 5.2365 0.0000 0.0000 -2.6182 4.5349" Properties=species:S:1:pos:R:3 comment="Hg | Alexandria via LeMat-Bulk | PBEsol | relaxed" energy_ry_per_atom=-0.040 formation_enthalpy_0k_mev_per_atom=17 pbc="T T T"
Hg 1.5190 2.6183 1.5116
Hg 1.5190 0.0000 3.0233
Hg 0.0000 0.0000 0.0000



2
Lattice="3.1197 -0.1302 0.0000 -1.5062 2.7351 0.0000 -0.8068 -1.3025 5.7385" Properties=species:S:1:pos:R:3 comment="Hg | Alexandria via LeMat-Bulk | PBEsol | relaxed" energy_ry_per_atom=-0.041 formation_enthalpy_0k_mev_per_atom=8 pbc="T T T"
Hg 0.8068 1.3025 1.4761
Hg 0.0000 0.0000 4.2624



1
Lattice="-1.8507 0.8747 2.3789 -1.0882 -2.5663 -1.4419 -0.1223 -2.2177 2.2172" Properties=species:S:1:pos:R:3 comment="Hg | Alexandria via LeMat-Bulk | PBEsol | relaxed" energy_ry_per_atom=-0.041 formation_enthalpy_0k_mev_per_atom=12 pbc="T T T"
Hg 0.0000 0.0000 0.0000



4
Lattice="4.6777 0.0000 0.0000 0.0000 4.6777 0.0000 0.0000 0.0000 4.6777" Properties=species:S:1:pos:R:3 comment="Ho3Hg | Alexandria via LeMat-Bulk | PBEsol | relaxed" energy_ry_per_atom=-0.299 formation_enthalpy_0k_mev_per_atom=-214 pbc="T T T"
Hg 2.3388 2.3388 2.3388
Ho 2.3388 0.0000 0.0000
Ho 0.0000 2.3388 0.0000
Ho 0.0000 0.0000 2.3388



2
Lattice="-2.8279 -1.6389 1.5945 2.1703 -1.1255 2.6923 -0.7199 3.0451 1.8533" Properties=species:S:1:pos:R:3 comment="HoHg | Alexandria via LeMat-Bulk | PBEsol | relaxed" energy_ry_per_atom=-0.245 formation_enthalpy_0k_mev_per_atom=-578 pbc="T T T"
Ho -0.6887 0.1404 3.0700
Hg 0.0000 0.0000 0.0000



4
Lattice="4.9141 0.0000 0.0000 2.4571 4.2558 0.0000 2.4571 1.4186 4.0124" Properties=species:S:1:pos:R:3 comment="LiHoHg2 | Alexandria via LeMat-Bulk | PBEsol | relaxed" energy_ry_per_atom=-0.186 formation_enthalpy_0k_mev_per_atom=-524 pbc="T T T"
Li 0.0000 0.0000 0.0000
Hg 7.3712 4.2558 3.0093
Hg 2.4571 1.4186 1.0031
Ho 4.9141 2.8372 2.0062



4
Lattice="-3.5221 1.8785 -2.9684 -2.9681 -3.0495 -2.5761 -4.7962 -0.4401 1.2442" Properties=species:S:1:pos:R:3 comment="HoMgHg2 | Alexandria via LeMat-Bulk | PBEsol | relaxed" energy_ry_per_atom=-0.184 formation_enthalpy_0k_mev_per_atom=-558 pbc="T T T"
Hg -2.8216 -0.4028 -1.0751
Hg -8.4648 -1.2083 -3.2252
Ho -5.6432 -0.8055 -2.1502
Mg 0.0000 0.0000 0.0000



14
Lattice="3.5648 0.0000 0.0000 1.7824 6.7118 -0.0234 1.7824 1.3177 8.3857" Properties=species:S:1:pos:R:3 comment="Ho2HgO4 | Alexandria via LeMat-Bulk | PBEsol | relaxed" energy_ry_per_atom=-0.530 pbc="T T T"
O 3.5648 5.6353 2.3600
O 3.5648 1.4863 3.2364
O 5.3471 4.3056 5.4576
O 1.7824 3.7239 2.9046
O 5.3471 5.6016 7.9266
O 3.5648 6.5432 5.1258
O 3.5648 2.3942 6.0023
O 1.7824 2.4279 0.4357
Ho 1.7824 2.2178 4.5083
Ho 3.5648 4.5512 6.7031
Ho 5.3471 5.8117 3.8540
Ho 3.5648 3.4783 1.6592
Hg 1.7824 0.6424 1.3554
Hg 5.3471 7.3871 7.0068



4
Lattice="4.9098 0.0000 0.0000 2.4549 4.2520 0.0000 2.4549 1.4173 4.0089" Properties=species:S:1:pos:R:3 comment="Ho2HgOs | Alexandria via LeMat-Bulk | PBEsol | relaxed" energy_ry_per_atom=-0.441 formation_enthalpy_0k_mev_per_atom=-329 pbc="T T T"
Ho 7.3647 4.2520 3.0066
Ho 2.4549 1.4173 1.0022
Os 0.0000 0.0000 0.0000
Hg 4.9098 2.8347 2.0044



4
Lattice="-3.0695 1.7277 3.8321 -4.8648 -1.7958 0.4478 -1.2581 -3.1506 3.9475" Properties=species:S:1:pos:R:3 comment="SmHoHg2 | Alexandria via LeMat-Bulk | PBEsol | relaxed" energy_ry_per_atom=-0.247 formation_enthalpy_0k_mev_per_atom=-560 pbc="T T T"
Hg -6.8943 -2.4140 6.1705
Hg -2.2981 -0.8047 2.0568
Ho -4.5962 -1.6094 4.1137
Sm 0.0000 0.0000 0.0000



4
Lattice="-0.8715 2.7271 4.2502 -4.2545 -0.8129 2.7386 0.3010 -2.2496 4.5945" Properties=species:S:1:pos:R:3 comment="HoTmHg2 | Alexandria via LeMat-Bulk | PBEsol | relaxed" energy_ry_per_atom=-0.244 formation_enthalpy_0k_mev_per_atom=-580 pbc="T T T"
Hg -3.6187 -0.2515 8.6875
Hg -1.2062 -0.0838 2.8958
Ho -2.4125 -0.1677 5.7917
Tm 0.0000 0.0000 0.0000



> Number 11 is which compound?

SmHoHg2